(1)
The following is a DFT calculation (PBE) of a geometry-optimized CuTc3H structure.

Geometry as extended XYZ:
```
5
Lattice="-0.8502 -0.5202 4.3503 -1.9477 -3.9246 -0.8500 3.9245 -2.0604 0.5206" Properties=species:S:1:pos:R:3 pbc="T T T"
Tc -0.9738 -1.9623 -0.4250
Tc 1.9623 -1.0302 0.2603
Tc -0.4251 -0.2601 2.1751
H 0.5633 -3.2526 2.0104
Cu 0.0000 0.0000 0.0000
```

ΔE to the lowest computed polymorph in meV per atom: 2260.5

(2)
The following is a DFT calculation (PBE) of a geometry-optimized MgMnHg2 structure.

Geometry as extended XYZ:
```
4
Lattice="3.6746 0.0000 0.0000 0.0000 3.6746 0.0000 0.0000 0.0000 6.0334" Properties=species:S:1:pos:R:3 pbc="T T T"
Hg 1.8373 1.8373 1.6492
Hg 0.0000 0.0000 5.8506
Mg 0.0000 0.0000 2.9923
Mn 1.8373 1.8373 4.5915
```

Formation energy from the elements in kcal/mol of atoms: 3.1

no.,theoretical density (Mg/m³)
1,6.7
2,9.8